Record 1
Density functional theory data (PBE) for a geometry-optimized PmCuGe structure.

Calculated values
The calculation puts the energy above the most stable polymorph in this dataset at 0.12 eV/f.u. The space-group type is P-6m2. As for the formation energy: -1.89 eV per formula unit.

Unit cell a=4.2161 b=4.2161 c=4.0507 alpha=90.00 beta=90.00 gamma=120.00
Sites, in units of the cell vectors:
Pm1 0.0000 0.0000 0.0000
Cu1 0.6667 0.3333 0.5000
Ge1 0.3333 0.6667 0.5000


Record 2
Density functional theory data (PBE) for a geometry-optimized La8Co3OsI4 structure.

Calculated values
Its formation energy (no corrections) is -0.69 eV per atom. The space-group type is C2/m.

Unit cell a=8.3065 b=8.3065 c=9.5534 alpha=115.86 beta=115.86 gamma=59.93
Sites, in units of the cell vectors:
La1 0.2264 0.2264 0.6791
La2 0.2269 0.7287 0.6841
La3 0.2714 0.2714 0.3162
La4 0.2713 0.7731 0.3159
La5 0.7287 0.2269 0.6841
La6 0.7286 0.7286 0.6838
La7 0.7731 0.2713 0.3159
La8 0.7736 0.7736 0.3209
Co1 0.0000 0.0000 0.5000
Co2 0.0000 0.5000 0.5000
Co3 0.5000 0.0000 0.5000
Os1 0.5000 0.5000 0.5000
I1 0.0000 0.0000 0.0000
I2 0.0000 0.5000 0.0000
I3 0.5000 0.0000 0.0000
I4 0.5000 0.5000 0.0000


Record 3
Density functional theory data (PBE) for a geometry-optimized Hf6AlFe structure.

Calculated values
The space-group type is P-1. As for the formation energy: 2.49 eV per formula unit.

Unit cell a=5.9395 b=5.9458 c=6.8231 alpha=90.13 beta=115.69 gamma=119.95
Sites, in units of the cell vectors:
Hf1 0.0449 0.0754 0.2553
Hf2 0.2861 0.7108 0.2556
Hf3 0.3191 0.5294 0.7449
Hf4 0.6809 0.4706 0.2551
Hf5 0.7139 0.2892 0.7444
Hf6 0.9551 0.9246 0.7447
Al1 0.5000 0.0000 0.0000
Fe1 0.5000 0.5000 0.5000


Record 4
Density functional theory data (PBE) for a geometry-optimized Tm7InIr2 structure.

Calculated values
The space-group type is Cmmm. As for the formation energy: -3.29 eV per formula unit.

Unit cell a=8.0640 b=8.0640 c=5.2209 alpha=90.00 beta=90.00 gamma=114.53
Sites, in units of the cell vectors:
Tm1 0.0000 0.0000 0.0000
Tm2 0.1826 0.4434 0.0000
Tm3 0.2193 0.7807 0.5000
Tm4 0.4434 0.1826 0.0000
Tm5 0.5566 0.8174 0.0000
Tm6 0.7807 0.2193 0.5000
Tm7 0.8174 0.5566 0.0000
In1 0.5000 0.5000 0.5000
Ir1 0.2026 0.7974 0.0000
Ir2 0.7974 0.2026 0.0000


Record 5
Density functional theory data (PBE) for a geometry-optimized TbPmTm structure.

Calculated values
The calculation puts the energy above the most stable polymorph in this dataset at 0.00 eV/f.u. The space-group type is P1. As for the formation energy: 0.06 eV per formula unit.

Unit cell a=3.5669 b=3.5672 c=8.7183 alpha=89.93 beta=89.98 gamma=60.01
Sites, in units of the cell vectors:
Tb1 0.0000 0.0000 0.0000
Pm1 0.3335 0.3346 0.3410
Tm1 0.6667 0.6665 0.6738


Record 6
Density functional theory data (PBE) for a geometry-optimized BaCa2ZnRh structure.

Calculated values
The calculation puts the energy above the most stable polymorph in this dataset at 0.00 eV/f.u. The space-group type is P4/mmm. As for the formation energy: -0.95 eV per formula unit.

Unit cell a=5.4823 b=5.4823 c=5.1866 alpha=90.00 beta=90.00 gamma=90.00
Sites, in units of the cell vectors:
Ba1 0.0000 0.0000 0.0000
Ca1 0.0000 0.5000 0.5000
Ca2 0.5000 0.0000 0.5000
Zn1 0.5000 0.5000 0.0000
Rh1 0.5000 0.5000 0.5000


Record 7
Density functional theory data (PBE) for a geometry-optimized Er2WS structure.

Calculated values
Its formation energy (no corrections) is 0.02 eV per atom. The space-group type is R-3m.

Unit cell a=9.4265 b=9.4265 c=9.4265 alpha=20.40 beta=20.40 gamma=20.40
Sites, in units of the cell vectors:
Er1 0.1009 0.1009 0.1009
Er2 0.8991 0.8991 0.8991
W1 0.0000 0.0000 0.0000
S1 0.5000 0.5000 0.5000


Record 8
Density functional theory data (PBE) for a geometry-optimized NaPr5Tl4 structure.

Calculated values
The space-group type is P4/mmm. As for the formation energy: -2.71 eV per formula unit.

Unit cell a=3.8048 b=3.8048 c=21.6540 alpha=90.00 beta=90.00 gamma=90.00
Sites, in units of the cell vectors:
Na1 0.0000 0.0000 0.0000
Pr1 0.5000 0.5000 0.1159
Pr2 0.5000 0.5000 0.3061
Pr3 0.5000 0.5000 0.5000
Pr4 0.5000 0.5000 0.6939
Pr5 0.5000 0.5000 0.8841
Tl1 0.0000 0.0000 0.2061
Tl2 0.0000 0.0000 0.4027
Tl3 0.0000 0.0000 0.5973
Tl4 0.0000 0.0000 0.7939


Record 9
Density functional theory data (PBE) for a geometry-optimized PrHo2TmBi5 structure.

Calculated values
The space-group type is P4/mmm. As for the formation energy: -0.07 eV per formula unit.

Unit cell a=5.3535 b=5.3535 c=12.1064 alpha=90.00 beta=90.00 gamma=90.00
Sites, in units of the cell vectors:
Pr1 0.0000 0.0000 0.0000
Ho1 0.5000 0.5000 0.2609
Ho2 0.5000 0.5000 0.7391
Tm1 0.0000 0.0000 0.5000
Bi1 0.0000 0.0000 0.2509
Bi2 0.0000 0.0000 0.7491
Bi3 0.0000 0.5000 0.5000
Bi4 0.5000 0.0000 0.5000
Bi5 0.5000 0.5000 0.0000


Record 10
Density functional theory data (PBE) for a geometry-optimized InTe3I structure.

Calculated values
The calculation puts the energy above the most stable polymorph in this dataset at 0.00 eV/f.u. Its formation energy (no corrections) is 0.46 eV per atom. The space-group type is Pm-3m.

Unit cell a=5.7124 b=5.7124 c=5.7124 alpha=90.00 beta=90.00 gamma=90.00
Sites, in units of the cell vectors:
In1 0.0000 0.0000 0.0000
Te1 0.0000 0.0000 0.5000
Te2 0.0000 0.5000 0.0000
Te3 0.5000 0.0000 0.0000
I1 0.5000 0.5000 0.5000


Record 11
Density functional theory data (PBE) for a geometry-optimized Er4Te5 structure.

Calculated values
Its formation energy (no corrections) is -0.88 eV per atom. The space-group type is I4/mmm.

Unit cell a=8.5205 b=8.5205 c=8.5205 alpha=92.95 beta=92.95 gamma=153.78
Sites, in units of the cell vectors:
Er1 0.1565 0.1565 0.3129
Er2 0.1565 0.8435 0.0000
Er3 0.8435 0.1565 0.0000
Er4 0.8435 0.8435 0.6871
Te1 0.1954 0.5000 0.6954
Te2 0.5000 0.1954 0.6954
Te3 0.5000 0.5000 0.0000
Te4 0.5000 0.8046 0.3046
Te5 0.8046 0.5000 0.3046


Record 12
Density functional theory data (PBE) for a geometry-optimized Y2Er7Mg structure.

Calculated values
The space-group type is Cmmm. As for the formation energy: 6.93 eV per formula unit.

Unit cell a=9.3735 b=9.3735 c=5.2144 alpha=90.00 beta=90.00 gamma=125.60
Sites, in units of the cell vectors:
Y1 0.2057 0.7943 0.0000
Y2 0.7943 0.2057 0.0000
Er1 0.0000 0.0000 0.0000
Er2 0.2178 0.4264 0.0000
Er3 0.3041 0.6959 0.5000
Er4 0.4264 0.2178 0.0000
Er5 0.5736 0.7822 0.0000
Er6 0.6959 0.3041 0.5000
Er7 0.7822 0.5736 0.0000
Mg1 0.5000 0.5000 0.5000


no.,mass density (g cm⁻³)
1,7.5
2,6.7
3,10.6
4,9.0
5,8.2
6,4.1
7,10.3
8,8.2
9,8.1
10,5.6
11,8.2
12,6.1